Crystalline VCdAs2O6 at its relaxed geometry. Source: the Alexandria database, functional GGA+U.

abc: 5.6408 7.8658 7.8658
angles: 87.63 87.46 87.46
Last column: magnetic moment on the atom in μB.
Positions (direct):
1 O 0.6261 0.3371 0.2621  0.00
2 V 0.2500 0.1973 0.8027  1.04
3 Cd 0.7500 0.1126 0.8874  0.01
4 As 0.1722 0.8238 0.6403  0.00
5 O 0.1453 0.9601 0.8278  0.00
6 O 0.8547 0.0399 0.1722  0.00
7 O 0.5102 0.2045 0.6791  -0.06
8 As 0.3278 0.3597 0.1762  0.00
9 As 0.6722 0.6403 0.8238  0.00
10 Cd 0.2500 0.8874 0.1126  0.01
11 O 0.8739 0.7379 0.6629  0.00
12 O 0.4898 0.7955 0.3209  -0.06
13 O 0.6453 0.8278 0.9601  0.00
14 As 0.8278 0.1762 0.3597  0.00
15 V 0.7500 0.8027 0.1973  1.04
16 O 0.9898 0.3209 0.7955  -0.06
17 O 0.0102 0.6791 0.2045  -0.06
18 O 0.1261 0.2621 0.3371  0.00
19 O 0.3547 0.1722 0.0399  0.00
20 O 0.3739 0.6629 0.7379  0.00

Values from the calculation:
symmetry	C2/c (15)
VASP energy	-6.01	eV per atom
Fermi-level density of states	0.00	states/eV/cell